## Ce8Tc2Pb (PBE)

Data for an optimized crystal structure of Ce8Tc2Pb.

Properties
The density of states at the Fermi level comes out at 28.6 states/eV/f.u. The value obtained for the formation energy is -0.84 eV per formula unit. The crystal system is monoclinic. The calculation puts the relative energy among the computed polymorphs at 42 meV/atom. As for the mass density: 8703 kg/m³. The value obtained for the magnetic moment is 2.8 μB per formula unit.

Unit cell a=8.469 b=13.336 c=5.289 alpha=90.00 beta=103.17 gamma=90.00
Space group C2/m (No. 12)
Unique sites:
Ce 0.000 0.245 0.000 (multiplicity 4)
Ce 0.078 0.000 0.801 (multiplicity 4)
Ce 0.203 0.389 0.558 (multiplicity 8)
Tc 0.000 0.209 0.500 (multiplicity 4)
Pb 0.000 0.500 0.000 (multiplicity 2)

---

## Pm5Nd3Y4 (PBE)

Data for an optimized crystal structure of Pm5Nd3Y4.

Properties
The density of states at the Fermi level comes out at 16.1 states/eV/f.u. The value obtained for the formation energy is 0.15 eV per formula unit. The crystal system is triclinic. The calculation puts the relative energy among the computed polymorphs at 0 meV/atom. As for the mass density: 6184 kg/m³. The value obtained for the magnetic moment is 0.0 μB per formula unit.

Unit cell a=6.292 b=7.260 c=8.897 alpha=89.88 beta=89.96 gamma=89.95
Space group P-1 (No. 2)
Unique sites:
Pm 0.000 0.000 0.000 (multiplicity 1)
Pm 0.334 0.499 0.334 (multiplicity 2)
Pm 0.500 0.249 0.000 (multiplicity 2)
Nd 0.000 0.500 0.000 (multiplicity 1)
Nd 0.167 0.751 0.666 (multiplicity 2)
Y 0.167 0.248 0.666 (multiplicity 2)
Y 0.334 0.000 0.334 (multiplicity 2)

---

no.,calculated volume (A^3/atom)
1,26.4
2,33.9